NdHo2Pt: relaxed, GGA-PBE.

a b c (Å): 6.555 7.145 9.614
angles (deg): 90.00 90.00 90.00
Atoms (fractional coordinates):
Nd1 0.633 0.522 0.250
Nd2 0.867 0.022 0.250
Nd3 0.367 0.478 0.750
Nd4 0.133 0.978 0.750
Ho1 0.173 0.677 0.063
Ho2 0.327 0.177 0.437
Ho3 0.827 0.323 0.563
Ho4 0.673 0.823 0.937
Ho5 0.827 0.323 0.937
Ho6 0.673 0.823 0.563
Ho7 0.173 0.677 0.437
Ho8 0.327 0.177 0.063
Pt1 0.070 0.385 0.250
Pt2 0.430 0.885 0.250
Pt3 0.930 0.615 0.750
Pt4 0.570 0.115 0.750

Properties
Theoretical density, g/cm³: 9.87
ΔE_f, eV/atom: -0.693

Cs2InHCl6: relaxed, GGA-PBE.

a b c (Å): 6.926 6.926 7.604
angles (deg): 62.91 62.91 90.00
Atoms (fractional coordinates):
Cs1 0.750 0.250 0.500
Cs2 0.250 0.750 0.500
H1 0.500 0.500 0.000
Cl1 0.213 0.213 0.574
Cl2 0.787 0.787 0.426
Cl3 0.269 0.269 0.000
Cl4 0.731 0.731 0.000
Cl5 0.731 0.269 0.000
Cl6 0.269 0.731 0.000
In1 0.000 0.000 0.000

Properties
Theoretical density, g/cm³: 3.54

Number 1: ΔE to the lowest computed polymorph 0 meV/atom, magnetic moment 0.000 μB per formula unit. Number 2: ΔE to the lowest computed polymorph 279 meV/atom, magnetic moment 0.000 μB per formula unit.